No. 1
Material: RbC2Cl
Method: DFT, PBE
State: optimized geometry

Cell: 5.0670 5.0670 5.0670 Å, 60.00 60.00 60.00°
With the nearest neighbours (Å) after each atom.
Sites, in units of the cell vectors:
C: 0.2500 0.2500 0.2500  4 Rb 3.10, 4 Cl 3.10
C: 0.7500 0.7500 0.7500  4 Cl 3.10, 4 Rb 3.10
Rb: 0.5000 0.5000 0.5000  8 C 3.10
Cl: 0.0000 0.0000 0.0000  8 C 3.10

Summary:
Relative energy among the computed polymorphs   0.855 eV/atom
Size of the total moment   4.00 μB per formula unit
Raw formation energy   11.15 eV/f.u.

No. 2
Material: PrTlAg
Method: DFT, PBE
State: optimized geometry

Cell: 4.9163 6.1002 6.3452 Å, 75.03 67.21 66.24°
With the nearest neighbours (Å) after each atom.
Sites, in units of the cell vectors:
Pr: 0.5296 0.2286 0.7122  6 Ag 3.31-3.66, 6 Tl 3.35-3.55, 1 Pr 3.68
Pr: 0.4704 0.7714 0.2878  6 Ag 3.31-3.66, 6 Tl 3.35-3.55, 1 Pr 3.68
Ag: 0.8400 0.6267 0.6933  1 Ag 2.81, 2 Tl 2.86
Ag: 0.1600 0.3733 0.3067  1 Ag 2.81, 2 Tl 2.86
Tl: 0.8299 0.2187 0.1216  3 Ag 2.86-3.18, 1 Tl 2.97
Tl: 0.1701 0.7813 0.8784  3 Ag 2.86-3.18, 1 Tl 2.97

Summary:
Energy relative to the elements   -0.8 eV per formula unit
Size of the total moment   0.00 μB per formula unit

No. 3
Material: KScSb
Method: DFT, PBE
State: optimized geometry

Cell: 3.6233 3.6233 8.4678 Å, 90.00 90.00 120.00°
With the nearest neighbours (Å) after each atom.
Sites, in units of the cell vectors:
Sb: 0.6667 0.3333 0.3605  3 Sc 3.00
Sc: 0.3333 0.6667 0.6138  3 Sb 3.00
K: 0.0000 0.0000 0.0257  3 Sb 3.52, 6 K 3.62

Summary:
Size of the total moment   0.22 μB per formula unit
Raw formation energy   -0.10 eV/f.u.

No. 4
Material: Ce3Co4Os
Method: DFT, PBE
State: optimized geometry

Cell: 5.4745 10.2215 9.6944 Å, 90.00 90.00 90.00°
With the nearest neighbours (Å) after each atom.
Sites, in units of the cell vectors:
Os: 0.0956 0.7500 0.8279  6 Co 2.51-2.76
Os: 0.4044 0.7500 0.3279  6 Co 2.51-2.76
Os: 0.5956 0.2500 0.6721  6 Co 2.51-2.76
Os: 0.9044 0.2500 0.1721  6 Co 2.51-2.76
Ce: 0.1552 0.5062 0.1564  3 Co 2.54-2.70
Ce: 0.3448 0.9938 0.6564  3 Co 2.54-2.70
Ce: 0.6520 0.7500 0.0730  6 Co 2.60-2.86, 1 Os 2.82
Ce: 0.8480 0.7500 0.5730  6 Co 2.60-2.86, 1 Os 2.82
Ce: 0.6552 0.4938 0.3436  3 Co 2.54-2.70
Ce: 0.1552 0.9938 0.1564  3 Co 2.54-2.70
Ce: 0.6552 0.0062 0.3436  3 Co 2.54-2.70
Ce: 0.8448 0.4938 0.8436  3 Co 2.54-2.70
Ce: 0.8448 0.0062 0.8436  3 Co 2.54-2.70
Ce: 0.3448 0.5062 0.6564  3 Co 2.54-2.70
Ce: 0.3480 0.2500 0.9270  6 Co 2.60-2.86, 1 Os 2.82
Ce: 0.1520 0.2500 0.4270  6 Co 2.60-2.86, 1 Os 2.82
Co: 0.3452 0.7500 0.5843  2 Os 2.51-2.73, 3 Co 2.51-2.63, 4 Ce 2.59-2.75
Co: 0.0977 0.2500 0.6994  3 Co 2.51-2.61, 2 Ce 2.60-2.66, 2 Os 2.74-2.76
Co: 0.8452 0.2500 0.9157  2 Os 2.51-2.73, 3 Co 2.51-2.63, 4 Ce 2.59-2.75
Co: 0.1499 0.5679 0.4273  1 Os 2.52, 2 Ce 2.54-2.70, 3 Co 2.57-2.63
Co: 0.9023 0.7500 0.3006  3 Co 2.51-2.61, 2 Ce 2.60-2.66, 2 Os 2.74-2.76
Co: 0.1499 0.9321 0.4273  1 Os 2.52, 2 Ce 2.54-2.70, 3 Co 2.57-2.63
Co: 0.1548 0.7500 0.0843  2 Os 2.51-2.73, 3 Co 2.51-2.63, 4 Ce 2.59-2.75
Co: 0.3501 0.5679 0.9273  1 Os 2.52, 2 Ce 2.54-2.70, 3 Co 2.57-2.63
Co: 0.5977 0.7500 0.8006  3 Co 2.51-2.61, 2 Ce 2.60-2.66, 2 Os 2.74-2.76
Co: 0.6548 0.2500 0.4157  2 Os 2.51-2.73, 3 Co 2.51-2.63, 4 Ce 2.59-2.75
Co: 0.6499 0.0679 0.0727  1 Os 2.52, 2 Ce 2.54-2.70, 3 Co 2.57-2.63
Co: 0.3501 0.9321 0.9273  1 Os 2.52, 2 Ce 2.54-2.70, 3 Co 2.57-2.63
Co: 0.4023 0.2500 0.1994  3 Co 2.51-2.61, 2 Ce 2.60-2.66, 2 Os 2.74-2.76
Co: 0.8501 0.4321 0.5727  1 Os 2.52, 2 Ce 2.54-2.70, 3 Co 2.57-2.63
Co: 0.8501 0.0679 0.5727  1 Os 2.52, 2 Ce 2.54-2.70, 3 Co 2.57-2.63
Co: 0.6499 0.4321 0.0727  1 Os 2.52, 2 Ce 2.54-2.70, 3 Co 2.57-2.63

Summary:
Energy relative to the elements   -1.1 eV per formula unit
Size of the total moment   0.00 μB per formula unit

No. 5
Material: RbCa2BeF
Method: DFT, PBE
State: optimized geometry

Cell: 5.4727 6.5706 5.4727 Å, 90.00 90.00 90.00°
With the nearest neighbours (Å) after each atom.
Sites, in units of the cell vectors:
Be: 0.0000 0.0000 0.0000  4 Ca 2.74
Ca: 0.0000 0.0000 0.5000  2 Be 2.74
Ca: 0.5000 0.0000 0.0000  2 Be 2.74
Rb: 0.0000 0.5000 0.0000  2 Be 3.29
F: 0.5000 0.5000 0.5000  4 Rb 3.87, 8 Ca 4.28

Summary:
Size of the total moment   0.00 μB per formula unit
Raw formation energy   -0.74 eV/f.u.

No. 6
Material: TaZn2Mo
Method: DFT, PBE
State: optimized geometry

Cell: 2.7014 4.2165 5.6300 Å, 90.00 90.00 90.00°
With the nearest neighbours (Å) after each atom.
Sites, in units of the cell vectors:
Ta: 0.5000 0.5000 0.7456  2 Ta 2.70, 6 Zn 2.80-2.90, 4 Mo 2.86
Mo: 0.0000 0.0000 0.5005  2 Mo 2.70, 6 Zn 2.78-2.88, 4 Ta 2.86
Zn: 0.5000 0.5000 0.2480  6 Zn 2.70-2.85, 2 Ta 2.80-2.83, 4 Mo 2.88
Zn: 0.0000 0.0000 0.0059  6 Zn 2.70-2.85, 2 Mo 2.78-2.85, 4 Ta 2.90

Summary:
Energy relative to the elements   0.7 eV per formula unit
Relative energy among the computed polymorphs   0.163 eV/atom
Size of the total moment   0.00 μB per formula unit

| no. | V (Å³/f.u.) | Fermi-level density of states (states/eV/atom) |
| --- | --- | --- |
| 1 | 92 | 1.115 |
| 2 | 80 | 0.920 |
| 3 | 96 | 0.882 |
| 4 | 136 | 1.092 |
| 5 | 197 | 0.747 |
| 6 | 64 | 0.623 |